[1]
Entry from Alexandria via LeMat-Bulk: a relaxed ScAs3 crystal (PBE-GGA).

Cell lengths 5.5581, 5.5581, 5.3411 Å; angles 90.00, 90.00, 103.44 degrees
Last column: nearest neighbours and their distance in Å.
Positions (direct):
Sc  0.6688  0.6688  0.2500  5 As 2.81-2.92
Sc  0.3312  0.3312  0.7500  5 As 2.81-2.92
As  0.9231  0.9231  0.7500  2 As 2.42
As  0.0769  0.0769  0.2500  2 As 2.42
As  0.8596  0.4776  0.7500  1 As 2.42
As  0.1404  0.5224  0.2500  1 As 2.42
As  0.4776  0.8596  0.7500  1 As 2.42
As  0.5224  0.1404  0.2500  1 As 2.42

Summary:
Total moment, μB per formula unit: 0.000
VASP energy, eV for the cell shown: -44.3
SG: Cmcm (63)
Formation enthalpy at 0 K, eV/atom: -0.464



[2]
Entry from Alexandria via LeMat-Bulk: a relaxed Sc5As crystal (PBE-GGA).

Cell lengths 5.8843, 5.8843, 5.8843 Å; angles 60.00, 60.00, 60.00 degrees
Last column: nearest neighbours and their distance in Å.
Positions (direct):
Sc  0.2500  0.2500  0.2500  12 Sc 3.45, 4 As 3.60
Sc  0.6238  0.6238  0.6238  6 Sc 2.91-2.97
Sc  0.1285  0.6238  0.6238  6 Sc 2.91-2.97
Sc  0.6238  0.1285  0.6238  6 Sc 2.91-2.97
Sc  0.6238  0.6238  0.1285  6 Sc 2.91-2.97
As  0.0000  0.0000  0.0000  16 Sc 3.45-3.60

Summary:
Total moment, μB per formula unit: 2.119
VASP energy, eV for the cell shown: -35.2
SG: F-43m (216)
ΔE to the lowest computed polymorph, meV per atom: 541.4
Formation enthalpy at 0 K, eV/atom: 0.192



[3]
Entry from Alexandria via LeMat-Bulk: a relaxed ScAs3 crystal (PBE-GGA).

Cell lengths 3.8397, 4.1337, 5.5171 Å; angles 70.63, 90.00, 90.00 degrees
Last column: nearest neighbours and their distance in Å.
Positions (direct):
As  0.0000  0.9527  0.0221  3 As 2.52-2.73, 2 Sc 2.79
As  0.5000  0.7500  0.7500  4 As 2.73, 2 Sc 2.85
As  0.0000  0.5473  0.4779  3 As 2.52-2.73, 2 Sc 2.79
Sc  0.5000  0.2500  0.2500  6 As 2.79-2.85

Summary:
Total moment, μB per formula unit: 0.000
VASP energy, eV for the cell shown: -22.1
SG: P2/m (10)
Formation enthalpy at 0 K, eV/atom: -0.455